(one)
SrAcZnIr (PBE, optimized geometry); volume = 26.3 A^3/atom
1.0
5.301 0.000 0.000
2.651 4.591 0.000
2.651 1.530 4.328
Zn Ac Sr Ir
1 1 1 1
Direct
0.000 0.000 0.000 Zn
0.750 0.750 0.750 Ac
0.250 0.250 0.250 Sr
0.500 0.500 0.500 Ir

---

(two)
SrAcZnIr (PBE, optimized geometry); volume = 33.1 A^3/atom
1.0
4.427 -0.014 0.000
-2.200 3.842 0.000
-2.207 -1.278 7.799
Ir Sr Zn Ac
1 1 1 1
Direct
0.824 0.276 0.100 Ir
0.345 0.038 0.383 Sr
0.514 0.622 0.136 Zn
0.009 0.869 0.878 Ac

---

(two) is preferred energetically. Next in line: 17.2 kJ/mol of atoms higher.

---

(one)
AcTb2Ir (PBE, optimized geometry); volume = 29.4 A^3/atom
1.0
3.582 0.000 0.000
0.000 3.582 0.000
0.000 0.000 9.176
Ac Tb Ir
1 2 1
Direct
0.500 0.500 0.500 Ac
0.000 0.000 0.826 Tb
0.000 0.000 0.174 Tb
0.500 0.500 0.000 Ir

---

(two)
AcTb2Ir (PBE, optimized geometry); volume = 36.4 A^3/atom
1.0
-2.030 3.275 0.908
-2.942 -0.164 2.644
5.304 3.169 9.061
Tb Ac Ir
2 1 1
Direct
0.119 0.119 0.642 Tb
0.881 0.881 0.358 Tb
0.000 0.000 0.000 Ac
0.500 0.500 0.500 Ir

---

(three)
AcTb2Ir (PBE, optimized geometry); volume = 30.0 A^3/atom
1.0
6.603 0.000 0.000
0.000 7.449 0.000
0.000 0.000 9.753
Tb Ac Ir
8 4 4
Direct
0.168 0.673 0.431 Tb
0.668 0.827 0.931 Tb
0.332 0.173 0.431 Tb
0.332 0.173 0.069 Tb
0.168 0.673 0.069 Tb
0.832 0.327 0.569 Tb
0.832 0.327 0.931 Tb
0.668 0.827 0.569 Tb
0.860 0.039 0.250 Ac
0.640 0.539 0.250 Ac
0.360 0.461 0.750 Ac
0.140 0.961 0.750 Ac
0.917 0.618 0.750 Ir
0.083 0.382 0.250 Ir
0.583 0.118 0.750 Ir
0.417 0.882 0.250 Ir

---

(four)
AcTb2Ir (PBE, optimized geometry); volume = 33.5 A^3/atom
1.0
-0.067 3.896 1.324
-2.812 1.187 2.760
4.761 -0.510 8.139
Ir Ac Tb
1 1 2
Direct
0.666 0.666 0.001 Ir
0.502 0.502 0.495 Ac
0.051 0.051 0.846 Tb
0.281 0.281 0.158 Tb

---

(three) is preferred energetically. Next in line: 9.0 kJ/mol of atoms higher.

---

(one)
Ac5TbIr4 (PBE, optimized geometry); volume = 33.5 A^3/atom
1.0
7.326 0.000 0.000
0.000 10.099 0.000
0.000 0.000 9.060
Ac Ir Tb
10 8 2
Direct
0.256 0.695 0.756 Ac
0.256 0.305 0.756 Ac
0.744 0.805 0.256 Ac
0.744 0.195 0.744 Ac
0.256 0.305 0.244 Ac
0.744 0.805 0.744 Ac
0.796 0.500 0.000 Ac
0.256 0.695 0.244 Ac
0.204 0.000 0.500 Ac
0.744 0.195 0.256 Ac
0.997 0.756 0.000 Ir
0.430 0.000 0.763 Ir
0.997 0.244 0.000 Ir
0.003 0.744 0.500 Ir
0.430 0.000 0.237 Ir
0.570 0.500 0.737 Ir
0.570 0.500 0.263 Ir
0.003 0.256 0.500 Ir
0.186 0.000 0.000 Tb
0.814 0.500 0.500 Tb

---

(two)
Ac5TbIr4 (PBE, optimized geometry); volume = 32.5 A^3/atom
1.0
-0.188 4.317 0.423
-7.035 -0.740 4.417
6.917 -2.476 6.071
Ir Ac Tb
4 5 1
Direct
0.002 0.756 0.004 Ir
0.332 0.898 0.664 Ir
0.998 0.244 0.996 Ir
0.668 0.102 0.336 Ir
0.166 0.854 0.332 Ac
0.160 0.328 0.320 Ac
0.834 0.146 0.668 Ac
0.500 0.500 0.000 Ac
0.840 0.672 0.680 Ac
0.500 0.000 0.000 Tb

---

(two) is preferred energetically. Next in line: 8.2 kJ/mol of atoms higher.

---

(one)
AcTbIr2 (PBE, optimized geometry); volume = 22.9 A^3/atom
1.0
-1.277 -3.157 -0.928
3.286 -1.168 -0.547
0.379 -2.213 7.004
Ir Ac Tb
2 1 1
Direct
0.000 0.000 0.223 Ir
0.000 0.000 0.777 Ir
0.500 0.500 0.500 Ac
0.500 0.500 0.000 Tb

---

(two)
AcTbIr2 (PBE, optimized geometry); volume = 23.0 A^3/atom
1.0
-0.601 5.028 0.268
-3.613 2.271 -2.739
-4.078 1.947 2.300
Ir Tb Ac
2 1 1
Direct
0.250 0.250 0.250 Ir
0.750 0.750 0.750 Ir
0.000 0.000 0.000 Tb
0.500 0.500 0.500 Ac

---

(one) is preferred energetically. Next in line: 2.8 kJ/mol of atoms higher.

---

(one)
AcThIr (PBE, optimized geometry); volume = 33.8 A^3/atom
1.0
5.647 0.000 0.385
0.000 4.477 0.000
-1.262 0.000 7.923
Ac Ir Th
2 2 2
Direct
0.700 0.750 0.835 Ac
0.300 0.250 0.165 Ac
0.308 0.750 0.434 Ir
0.692 0.250 0.566 Ir
0.810 0.750 0.365 Th
0.190 0.250 0.635 Th

---

(two)
AcThIr (PBE, optimized geometry); volume = 29.3 A^3/atom
1.0
-1.618 -2.917 -1.660
3.338 -1.587 -0.467
-1.442 -0.624 6.682
Ac Ir Th
1 1 1
Direct
0.018 0.018 0.035 Ac
0.691 0.691 0.382 Ir
0.292 0.292 0.583 Th

---

(one) is preferred energetically. Next in line: 14.3 kJ/mol of atoms higher.

---

(one)
AcThIr (PBE, optimized geometry); volume = 31.1 A^3/atom
1.0
3.930 0.323 0.234
1.102 10.535 0.352
1.354 0.904 9.204
Ac Ir Th
4 4 4
Direct
0.572 0.823 0.531 Ac
0.437 0.695 0.931 Ac
0.563 0.305 0.069 Ac
0.428 0.177 0.469 Ac
0.234 0.222 0.810 Ir
0.887 0.377 0.350 Ir
0.766 0.778 0.190 Ir
0.113 0.623 0.650 Ir
0.818 0.028 0.835 Th
0.295 0.577 0.333 Th
0.705 0.423 0.667 Th
0.182 0.972 0.165 Th

---

(two)
AcThIr (PBE, optimized geometry); volume = 34.6 A^3/atom
1.0
4.230 0.000 0.000
-2.115 3.663 0.000
0.000 0.000 6.706
Ac Ir Th
1 1 1
Direct
0.000 0.000 0.915 Ac
0.333 0.667 0.647 Ir
0.667 0.333 0.438 Th

---

(three)
AcThIr (PBE, optimized geometry); volume = 31.3 A^3/atom
1.0
5.104 0.000 0.000
2.552 4.420 0.000
2.552 1.473 4.168
Ac Th Ir
1 1 1
Direct
0.000 0.000 0.000 Ac
0.500 0.500 0.500 Th
0.250 0.250 0.250 Ir

---

(one) is preferred energetically. Next in line: 4.0 kJ/mol of atoms higher.

---

(one)
AcTh2Ir (PBE, optimized geometry); volume = 36.8 A^3/atom
1.0
3.994 0.000 0.000
1.997 3.459 0.000
1.997 1.153 10.649
Ac Ir Th
1 1 2
Direct
0.000 0.000 0.000 Ac
0.500 0.500 0.500 Ir
0.115 0.115 0.654 Th
0.885 0.885 0.346 Th

---

(two)
AcTh2Ir (PBE, optimized geometry); volume = 34.1 A^3/atom
1.0
4.081 0.000 0.000
2.041 3.534 0.000
2.041 1.178 9.461
Ir Th Ac
1 2 1
Direct
0.666 0.666 0.003 Ir
0.276 0.276 0.171 Th
0.057 0.057 0.830 Th
0.501 0.501 0.497 Ac

---

(two) is preferred energetically. Next in line: 18.1 kJ/mol of atoms higher.

---

(one)
Ac2TlIr2 (PBE, optimized geometry); volume = 26.6 A^3/atom
1.0
-3.000 7.143 1.945
-4.797 -3.474 5.359
5.876 0.880 5.831
Ac Ir Tl
8 8 4
Direct
0.177 0.677 0.500 Ac
0.677 0.823 0.000 Ac
0.677 0.823 0.500 Ac
0.823 0.323 0.500 Ac
0.823 0.323 0.000 Ac
0.323 0.177 0.000 Ac
0.177 0.677 0.000 Ac
0.323 0.177 0.500 Ac
0.381 0.881 0.250 Ir
0.381 0.881 0.750 Ir
0.119 0.381 0.750 Ir
0.619 0.119 0.250 Ir
0.119 0.381 0.250 Ir
0.881 0.619 0.750 Ir
0.881 0.619 0.250 Ir
0.619 0.119 0.750 Ir
0.000 0.000 0.250 Tl
0.500 0.500 0.750 Tl
0.000 0.000 0.750 Tl
0.500 0.500 0.250 Tl

---

(two)
Ac2TlIr2 (PBE, optimized geometry); volume = 26.5 A^3/atom
1.0
4.211 0.000 1.794
1.291 5.177 2.809
-0.081 -0.008 6.030
Ac Ir Tl
2 2 1
Direct
0.707 0.793 0.293 Ac
0.293 0.207 0.707 Ac
0.000 0.204 0.295 Ir
0.000 0.796 0.705 Ir
0.500 0.500 0.000 Tl

---

(two) is preferred energetically. Next in line: 0.7 kJ/mol of atoms higher.